! GGA-PBE Ce2CuNi7, optimized geometry; values from VASP
! total moment = 0.0 μB/f.u.
! energy of formation = -1.970 eV/f.u.
! DOS at the Fermi energy = 10.50 states/eV/f.u.
&SYSTEM
  ibrav = 0, nat = 10, ntyp = 3
/
ATOMIC_SPECIES
Ce 140.12 Ce.upf
Cu 63.55 Cu.upf
Ni 58.69 Ni.upf
CELL_PARAMETERS angstrom
3.703 0.000 0.000
0.000 3.703 0.000
0.000 0.000 10.829
ATOMIC_POSITIONS crystal
Ce 0.000 0.500 0.242
Ce 0.500 0.000 0.758
Cu 0.000 0.000 0.500
Ni 0.000 0.000 0.000
Ni 0.000 0.500 0.644
Ni 0.000 0.500 0.858
Ni 0.500 0.000 0.142
Ni 0.500 0.000 0.356
Ni 0.500 0.500 0.000
Ni 0.500 0.500 0.500